ScTlP2 | PBE | optimized geometry

Cell lengths 3.527, 3.527, 7.036 Å; angles 90.00, 90.00, 90.00 degrees
Fractional positions:
Sc: 0.000 0.000 0.000
Tl: 0.000 0.000 0.500
P: 0.500 0.500 0.160
P: 0.500 0.500 0.840

## Properties
The value obtained for the density is 5.91 g/cm3. The energy relative to the elements is -0.522 eV per atom. The crystal system is tetragonal. The energy comes out at -5.401 eV per atom. The calculation puts the energy relative to the lowest polymorph listed for this composition at 7 meV per atom.

Sc3TlP | PBE | optimized geometry

Cell lengths 5.632, 5.047, 7.722 Å; angles 90.00, 90.00, 90.00 degrees
Fractional positions:
Sc: 0.000 0.000 0.000
Sc: 0.250 0.000 0.370
Sc: 0.250 0.500 0.687
Sc: 0.500 0.000 0.000
Sc: 0.750 0.000 0.630
Sc: 0.750 0.500 0.313
Tl: 0.250 0.500 0.140
Tl: 0.750 0.500 0.860
P: 0.250 0.000 0.702
P: 0.750 0.000 0.298

## Properties
The value obtained for the density is 5.60 g/cm3. The energy relative to the elements is -0.715 eV per atom. The crystal system is orthorhombic. The energy comes out at -6.069 eV per atom. The calculation puts the energy relative to the lowest polymorph listed for this composition at 21 meV per atom.

Sc2TlP | PBE | optimized geometry

Cell lengths 3.305, 3.456, 7.404 Å; angles 90.00, 98.25, 90.00 degrees
Fractional positions:
Sc: 0.087 0.000 0.293
Sc: 0.913 0.000 0.707
Tl: 0.500 0.500 0.000
P: 0.500 0.500 0.500

## Properties
The value obtained for the density is 6.45 g/cm3. The energy relative to the elements is -0.673 eV per atom. The crystal system is monoclinic. The energy comes out at -5.782 eV per atom. The calculation puts the energy relative to the lowest polymorph listed for this composition at 229 meV per atom.

Sc3TlP | PBE | optimized geometry

Cell lengths 8.255, 8.255, 7.252 Å; angles 102.15, 102.15, 79.69 degrees
Fractional positions:
Sc: 0.144 0.146 0.067
Sc: 0.146 0.144 0.567
Sc: 0.182 0.516 0.926
Sc: 0.187 0.519 0.430
Sc: 0.481 0.813 0.070
Sc: 0.484 0.818 0.574
Sc: 0.516 0.182 0.426
Sc: 0.519 0.187 0.930
Sc: 0.813 0.481 0.570
Sc: 0.818 0.484 0.074
Sc: 0.854 0.856 0.433
Sc: 0.856 0.854 0.933
Tl: 0.167 0.833 0.250
Tl: 0.499 0.501 0.750
Tl: 0.501 0.499 0.250
Tl: 0.833 0.167 0.750
P: 0.022 0.689 0.684
P: 0.311 0.978 0.816
P: 0.689 0.022 0.184
P: 0.978 0.311 0.316

## Properties
The value obtained for the density is 5.26 g/cm3. The energy relative to the elements is -0.534 eV per atom. The crystal system is monoclinic. The energy comes out at -5.889 eV per atom. The calculation puts the energy relative to the lowest polymorph listed for this composition at 201 meV per atom.

Sc2TlP | PBE | optimized geometry

Cell lengths 3.643, 3.643, 23.404 Å; angles 90.00, 90.00, 120.00 degrees
Fractional positions:
Sc: 0.000 0.000 0.000
Sc: 0.000 0.000 0.207
Sc: 0.333 0.667 0.667
Sc: 0.333 0.667 0.874
Sc: 0.667 0.333 0.333
Sc: 0.667 0.333 0.541
Tl: 0.000 0.000 0.437
Tl: 0.333 0.667 0.103
Tl: 0.667 0.333 0.770
P: 0.000 0.000 0.605
P: 0.333 0.667 0.271
P: 0.667 0.333 0.938

## Properties
The value obtained for the density is 6.02 g/cm3. The energy relative to the elements is -0.862 eV per atom. The crystal system is trigonal. The energy comes out at -5.971 eV per atom. The calculation puts the energy relative to the lowest polymorph listed for this composition at 40 meV per atom.

ScTlP2 | PBE | optimized geometry

Cell lengths 3.846, 3.846, 5.712 Å; angles 90.00, 90.00, 90.00 degrees
Fractional positions:
Sc: 0.000 0.000 0.000
Tl: 0.500 0.500 0.500
P: 0.000 0.000 0.500
P: 0.500 0.500 0.000

## Properties
The value obtained for the density is 6.12 g/cm3. The energy relative to the elements is -0.412 eV per atom. The crystal system is tetragonal. The energy comes out at -5.291 eV per atom. The calculation puts the energy relative to the lowest polymorph listed for this composition at 116 meV per atom.

Y2ScTlP | PBE | optimized geometry

Cell lengths 5.251, 5.251, 4.931 Å; angles 90.00, 90.00, 90.00 degrees
Fractional positions:
Y: 0.000 0.500 0.000
Y: 0.500 0.000 0.000
Sc: 0.000 0.000 0.500
Tl: 0.500 0.500 0.500
P: 0.000 0.000 0.000

## Properties
The value obtained for the density is 5.60 g/cm3. The energy relative to the elements is -0.708 eV per atom. The crystal system is tetragonal. The energy comes out at -6.115 eV per atom.

ZrSc2TlP | PBE | optimized geometry

Cell lengths 4.863, 4.863, 4.939 Å; angles 90.00, 90.00, 90.00 degrees
Fractional positions:
Zr: 0.000 0.000 0.000
Sc: 0.000 0.500 0.500
Sc: 0.500 0.000 0.500
Tl: 0.500 0.500 0.000
P: 0.000 0.000 0.500

## Properties
The value obtained for the density is 5.92 g/cm3. The energy relative to the elements is -0.589 eV per atom. The crystal system is tetragonal. The energy comes out at -6.387 eV per atom.

Q: Which of these has the highest energy relative to the elements?
A: number 6

Q: Among the records above, which one has the lowest energy?
A: ZrSc2TlP

Please write out number 2 again, unchanged.
Sc3TlP | PBE | optimized geometry

Cell lengths 5.632, 5.047, 7.722 Å; angles 90.00, 90.00, 90.00 degrees
Fractional positions:
Sc: 0.000 0.000 0.000
Sc: 0.250 0.000 0.370
Sc: 0.250 0.500 0.687
Sc: 0.500 0.000 0.000
Sc: 0.750 0.000 0.630
Sc: 0.750 0.500 0.313
Tl: 0.250 0.500 0.140
Tl: 0.750 0.500 0.860
P: 0.250 0.000 0.702
P: 0.750 0.000 0.298

## Properties
The value obtained for the density is 5.60 g/cm3. The energy relative to the elements is -0.715 eV per atom. The crystal system is orthorhombic. The energy comes out at -6.069 eV per atom. The calculation puts the energy relative to the lowest polymorph listed for this composition at 21 meV per atom.

Q: Which value of energy does entry 3 give?
A: -5.782 eV per atom